Here is an optimized crystal structure of Fe2TcSe from Alexandria. Energies are from PBE.

Cell lengths 5.312, 5.312, 10.127 Å; angles 90.00, 90.00, 90.00 degrees
Space group I-42d (No. 122)
Inequivalent atoms, fractional coordinates:
Fe: 0.249 0.250 0.125
Tc: 0.000 0.000 0.000
Se: 0.000 0.000 0.500

Results
Calculated total energy: -27.94 eV per formula unit
Energy relative to the elements, uncorrected: 0.7096 eV/atom

=====

Here is an optimized crystal structure of FeTc2Se from Alexandria. Energies are from PBE.

Cell lengths 3.025, 4.352, 4.374 Å; angles 90.00, 90.00, 90.00 degrees
Space group Pmmm (No. 47)
Inequivalent atoms, fractional coordinates:
Fe: 0.000 0.000 0.000
Tc: 0.000 0.500 0.500
Tc: 0.500 0.500 0.000
Se: 0.500 0.000 0.500

Results
Calculated total energy: -31.05 eV per formula unit
Energy relative to the elements, uncorrected: 0.4062 eV/atom

=====

Here is an optimized crystal structure of FeTcSe from Alexandria. Energies are from PBE.

Cell lengths 5.669, 5.669, 5.669 Å; angles 90.00, 90.00, 90.00 degrees
Space group F-43m (No. 216)
Inequivalent atoms, fractional coordinates:
Fe: 0.000 0.000 0.000
Tc: 0.000 0.000 0.500
Se: 0.250 0.250 0.250

Results
Relative energy among the computed polymorphs: 0.270 eV/atom
Calculated total energy: -21.12 eV per formula unit
Energy relative to the elements, uncorrected: 0.3987 eV/atom

=====

Here is an optimized crystal structure of Fe2TcSe from Alexandria. Energies are from PBE.

Cell lengths 2.8981, 2.8981, 23.2926 Å; angles 90.00, 90.00, 120.00 degrees
Space group R3m (No. 160, hexagonal axes)
Inequivalent atoms, fractional coordinates:
Fe: 0.0000 0.0000 0.0000
Fe: 0.0000 0.0000 0.2556
Tc: 0.0000 0.0000 0.5025
Se: 0.0000 0.0000 0.7508

Results
Calculated total energy: -29.62 eV per formula unit
Energy relative to the elements, uncorrected: 0.2884 eV/atom

=====

Here is an optimized crystal structure of FeTc2Se from Alexandria. Energies are from PBE.

Cell lengths 5.381, 5.381, 10.673 Å; angles 90.00, 90.00, 90.00 degrees
Space group I-42d (No. 122)
Inequivalent atoms, fractional coordinates:
Fe: 0.000 0.000 0.000
Tc: 0.218 0.250 0.125
Se: 0.000 0.000 0.500

Results
Calculated total energy: -29.92 eV per formula unit
Energy relative to the elements, uncorrected: 0.6896 eV/atom

=====

Here is an optimized crystal structure of Fe4TcSe from Alexandria. Energies are from PBE.

Cell lengths 6.799, 6.799, 6.799 Å; angles 90.00, 90.00, 90.00 degrees
Space group F-43m (No. 216)
Inequivalent atoms, fractional coordinates:
Fe: 0.124 0.124 0.376
Tc: 0.250 0.250 0.750
Se: 0.000 0.000 0.000

Results
Calculated total energy: -45.19 eV per formula unit
Energy relative to the elements, uncorrected: 0.4183 eV/atom

=====

Here is an optimized crystal structure of FeTc2Se from Alexandria. Energies are from PBE.

Cell lengths 2.898, 3.933, 5.197 Å; angles 90.00, 102.26, 90.00 degrees
Space group P2/m (No. 10)
Inequivalent atoms, fractional coordinates:
Fe: 0.000 0.000 0.000
Tc: 0.367 0.500 0.754
Se: 0.000 0.000 0.500

Results
Calculated total energy: -31.31 eV per formula unit
Energy relative to the elements, uncorrected: 0.3425 eV/atom

=====

Here is an optimized crystal structure of Fe2TcSe from Alexandria. Energies are from PBE.

Cell lengths 3.120, 4.450, 8.297 Å; angles 90.00, 90.00, 90.00 degrees
Space group Cmmm (No. 65)
Inequivalent atoms, fractional coordinates:
Fe: 0.000 0.000 0.242
Tc: 0.000 0.500 0.000
Se: 0.000 0.500 0.500

Results
Calculated total energy: -29.14 eV per formula unit
Energy relative to the elements, uncorrected: 0.4086 eV/atom